[1]
12
Lattice="-1.969 -1.354 -1.551 5.945 -1.582 -6.166 0.772 -6.998 5.127" Properties=species:S:1:pos:R:3 comment="Ga3SiPt2 (PBE, optimized geometry)" m_tot_mub_per_cell=0.00 dos_ef_per_ev_cell=3.41 formation_energy_uncorrected_mev_per_atom=-343 pbc="T T T"
Si 1.740 -4.129 -1.184
Si 2.052 -6.462 -2.160
Ga 5.069 -8.381 -1.699
Ga 0.330 -5.442 1.751
Ga -1.277 -2.210 -1.645
Ga 0.783 -7.955 0.754
Ga 3.009 -2.637 -4.097
Ga 3.462 -5.149 -5.095
Pt 4.420 -6.158 -2.815
Pt -0.628 -4.433 -0.529
Pt 0.571 -3.177 -3.147
Pt 3.220 -7.414 -0.196



[2]
4
Lattice="2.044 -0.644 3.809 -1.431 2.000 3.613 -1.941 -2.317 3.157" Properties=species:S:1:pos:R:3 comment="Fe2PdCl (PBE, optimized geometry)" m_tot_mub_per_cell=6.25 dos_ef_per_ev_cell=5.41 formation_energy_uncorrected_mev_per_atom=501 pbc="T T T"
Pd -0.664 -0.480 5.290
Fe -0.996 -0.720 7.935
Fe -0.332 -0.240 2.645
Cl 0.000 0.000 0.000



[3]
4
Lattice="4.846 0.000 0.000 2.423 4.197 0.000 2.423 1.399 3.957" Properties=species:S:1:pos:R:3 comment="BaAlRu2 (PBE, optimized geometry)" delta_e_f_ev_per_atom=0.846 m_tot_mub_per_cell=1.39 dos_ef_per_ev_cell=4.77 pbc="T T T"
Ru 7.269 4.197 2.967
Ru 0.000 0.000 0.000
Ba 2.423 1.399 0.989
Al 4.846 2.798 1.978



[4]
8
Lattice="-0.843 3.659 1.246 -5.457 -1.175 -0.240 0.148 -1.769 5.297" Properties=species:S:1:pos:R:3 comment="TaTiPd6 (PBE, optimized geometry)" delta_e_f_ev_per_atom=-0.486 m_tot_mub_per_cell=1.01 dos_ef_per_ev_cell=7.33 pbc="T T T"
Pd -4.685 -2.136 3.104
Pd -4.761 -1.249 0.448
Pd -2.024 -0.660 0.569
Pd -3.702 -0.453 5.109
Pd -1.047 1.019 2.580
Pd -1.949 -1.547 3.226
Ta -0.974 0.135 5.228
Ti -3.776 0.431 2.460